# TePb3 (PBE, relaxed)
# DFT total energy: -3.632 eV per atom
# formation energy from raw total energies: -0.0649 eV per atom
# D(E_F): 0.47 states/eV/atom
data_TePb3
_space_group_name_H-M_alt 'I m m m'
_space_group_IT_number 71
_space_group_name_Hall '-I 2 2'
_cell_length_a 4.025
_cell_length_b 5.527
_cell_length_c 11.369
_cell_angle_alpha 90.00
_cell_angle_beta 90.00
_cell_angle_gamma 90.00
loop_
_atom_site_label
_atom_site_fract_x
_atom_site_fract_y
_atom_site_fract_z
Te1 0.000 0.000 0.000
Pb1 0.000 0.000 0.500
Pb2 0.000 0.500 0.267

***

# LaDyHoAl (PBE, relaxed)
# DFT total energy: -4.527 eV per atom
# formation enthalpy at 0 K: -0.064 eV per atom
# D(E_F): 1.74 states/eV/atom
data_LaDyHoAl
_space_group_name_H-M_alt 'F -4 3 m'
_space_group_IT_number 216
_space_group_name_Hall 'F -4 2 3'
_cell_length_a 7.685
_cell_length_b 7.685
_cell_length_c 7.685
_cell_angle_alpha 90.00
_cell_angle_beta 90.00
_cell_angle_gamma 90.00
loop_
_atom_site_label
_atom_site_fract_x
_atom_site_fract_y
_atom_site_fract_z
La1 0.000 0.000 0.000
Dy1 0.000 0.000 0.500
Ho1 0.250 0.250 0.750
Al1 0.250 0.250 0.250

***

Values of E above lowest polymorph, in order: 0.0 123.0, all in meV/atom.